The following is a GGA-PBE calculation of a relaxed PmB3Pt6 crystal, from Alexandria via LeMat-Bulk.

Cell lengths 5.6392, 5.6392, 16.1053 Å; angles 90.00, 90.00, 120.00 degrees
Space group R3 (No. 146, hexagonal axes)
One atom of each set of equivalent atoms:
Pm: 0.0000 0.0000 0.0000 [3 per cell]
B: 0.0000 0.0000 0.2884 [3 per cell]
B: 0.0000 0.0000 0.6229 [3 per cell]
B: 0.0000 0.0000 0.8285 [3 per cell]
Pt: 0.0564 0.3373 0.2096 [9 per cell]
Pt: 0.1600 0.3349 0.3881 [9 per cell]

Calculated values
V	148	Å³/f.u.
energy of formation	-0.458	eV per atom
total magnetization	0.000	Bohr magnetons per cell

=====

The following is a GGA-PBE calculation of a relaxed K2Li2O2F crystal, from Alexandria via LeMat-Bulk.

Cell lengths 10.9303, 3.4473, 6.6297 Å; angles 90.00, 125.64, 90.00 degrees
Space group C2/m (No. 12)
One atom of each set of equivalent atoms:
K: 0.0608 0.0000 0.3383 [4 per cell]
Li: 0.2021 0.5000 0.0815 [4 per cell]
O: 0.1931 0.5000 0.7706 [4 per cell]
F: 0.0000 0.5000 0.0000 [2 per cell]

Calculated values
V	102	Å³/f.u.
energy relative to the elements, uncorrected	-1.7085	eV per atom
total magnetization	2.001	Bohr magnetons per cell

=====

The following is a GGA-PBE calculation of a relaxed LaYW2 crystal, from Alexandria via LeMat-Bulk.

Cell lengths 3.3148, 3.3144, 8.8589 Å; angles 90.00, 90.07, 90.00 degrees
Space group Pm (No. 6)
One atom of each set of equivalent atoms:
La: 0.0000 0.0000 0.0000 [1 per cell]
Y: 0.5020 0.5000 0.6256 [1 per cell]
W: 0.0008 0.0000 0.3990 [1 per cell]
W: 0.5005 0.5000 0.2519 [1 per cell]

Calculated values
V	97	Å³/f.u.
energy of formation	0.290	eV per atom
total magnetization	0.000	Bohr magnetons per cell

=====

The following is a GGA-PBE calculation of a relaxed ScCr2Br crystal, from Alexandria via LeMat-Bulk.

Cell lengths 3.5292, 3.5292, 6.5013 Å; angles 90.00, 90.00, 90.00 degrees
Space group P4/mmm (No. 123)
One atom of each set of equivalent atoms:
Sc: 0.0000 0.0000 0.0000 [1 per cell]
Cr: 0.5000 0.5000 0.2321 [2 per cell]
Br: 0.0000 0.0000 0.5000 [1 per cell]

Calculated values
V	81	Å³/f.u.
energy relative to the elements, uncorrected	0.4365	eV per atom
total magnetization	8.053	Bohr magnetons per cell

=====

The following is a GGA-PBE calculation of a relaxed DySbAs crystal, from Alexandria via LeMat-Bulk.

Cell lengths 5.5321, 5.5192, 10.4936 Å; angles 90.00, 105.22, 90.00 degrees
Space group C2/m (No. 12)
One atom of each set of equivalent atoms:
Dy: 0.1163 0.0000 0.2340 [4 per cell]
Sb: 0.2109 0.5000 0.4178 [4 per cell]
As: 0.0634 0.5000 0.1284 [4 per cell]

Calculated values
V	77	Å³/f.u.
energy relative to the elements, uncorrected	-0.7182	eV per atom
total magnetization	0.000	Bohr magnetons per cell

=====

| no. | E (eV/atom) |
| --- | --- |
| 1 | -6.561 |
| 2 | -4.253 |
| 3 | -9.035 |
| 4 | -6.376 |
| 5 | -5.176 |